The following is a PBEsol calculation of a geometry-optimized LiTl2Cd structure, from Alexandria via LeMat-Bulk.

Lattice parameters (Å, degrees): 3.291 3.291 8.499 90.00 90.00 90.00
Fractional coordinates of all 4 atoms:
Cd  0.000  0.000  0.540
Li  0.500  0.500  0.737
Tl  0.500  0.500  0.262
Tl  0.000  0.000  0.961

Properties
Crystal system   tetragonal
Energy relative to the elements   -0.090 eV per atom
DOS at the Fermi energy   0.422 states/eV/atom

The following is a PBEsol calculation of a geometry-optimized Te2SeCl structure, from Alexandria via LeMat-Bulk.

Lattice parameters (Å, degrees): 3.774 3.774 7.011 90.00 90.00 90.00
Fractional coordinates of all 4 atoms:
Cl  0.500  0.500  0.000
Te  0.000  0.000  0.300
Te  0.000  0.000  0.700
Se  0.500  0.500  0.500

Properties
E_form (uncorrected)   0.128 eV/atom
Crystal system   tetragonal
DOS at the Fermi energy   0.574 states/eV/atom

The following is a PBEsol calculation of a geometry-optimized Ba2NaInSb structure, from Alexandria via LeMat-Bulk.

Lattice parameters (Å, degrees): 5.604 6.600 6.600 90.00 90.00 90.00
Each line ends with the local moment (μB).
Fractional coordinates of all 5 atoms:
Ba  0.000  0.000  0.500  0.03
Ba  0.000  0.500  0.000  0.03
In  0.500  0.500  0.500  0.12
Sb  0.000  0.000  0.000  0.00
Na  0.500  0.000  0.000  0.00

Properties
E_form (uncorrected)   -0.222 eV/atom
Crystal system   tetragonal
DOS at the Fermi energy   0.970 states/eV/atom

The following is a PBEsol calculation of a geometry-optimized SrYSi2 structure, from Alexandria via LeMat-Bulk.

Lattice parameters (Å, degrees): 3.928 5.299 6.111 72.03 71.25 68.25
Each line ends with the local moment (μB).
Fractional coordinates of all 4 atoms:
Si  0.746  0.111  0.398  0.00
Si  0.254  0.889  0.602  0.00
Y  0.000  0.500  0.500  0.10
Sr  0.500  0.000  0.000  0.02

Properties
E_form (uncorrected)   -0.395 eV/atom
Crystal system   monoclinic
Offset from the most stable computed form   0.0966 eV/atom
DOS at the Fermi energy   1.001 states/eV/atom

The following is a PBEsol calculation of a geometry-optimized Zn2FeSb structure, from Alexandria via LeMat-Bulk.

Lattice parameters (Å, degrees): 3.145 4.472 4.998 101.11 90.00 110.59
Each line ends with the local moment (μB).
Fractional coordinates of all 4 atoms:
Zn  0.987  0.975  0.933  -0.02
Zn  0.242  0.485  0.754  -0.03
Fe  0.504  0.008  0.520  1.98
Sb  0.766  0.533  0.293  -0.03

Properties
E_form (uncorrected)   0.233 eV/atom
Crystal system   monoclinic
DOS at the Fermi energy   0.730 states/eV/atom

The following is a PBEsol calculation of a geometry-optimized Hf3Si3Ni2 structure, from Alexandria via LeMat-Bulk.

Lattice parameters (Å, degrees): 3.811 5.226 12.803 90.00 90.00 111.38
Fractional coordinates of all 16 atoms:
Ni  0.281  0.562  0.089
Ni  0.719  0.438  0.589
Ni  0.719  0.438  0.911
Ni  0.281  0.562  0.411
Hf  0.427  0.854  0.618
Hf  0.135  0.269  0.750
Hf  0.865  0.731  0.250
Hf  0.573  0.146  0.118
Hf  0.573  0.146  0.382
Hf  0.427  0.854  0.882
Si  0.888  0.776  0.041
Si  0.841  0.681  0.750
Si  0.112  0.224  0.541
Si  0.112  0.224  0.959
Si  0.888  0.776  0.459
Si  0.159  0.319  0.250

Properties
E_form (uncorrected)   -0.949 eV/atom
Crystal system   orthorhombic
DOS at the Fermi energy   0.458 states/eV/atom

The following is a PBEsol calculation of a geometry-optimized Re3RhN structure, from Alexandria via LeMat-Bulk.

Lattice parameters (Å, degrees): 4.004 4.004 4.004 90.00 90.00 90.00
Fractional coordinates of all 5 atoms:
N  0.000  0.000  0.000
Re  0.000  0.000  0.500
Re  0.500  0.000  0.000
Re  0.000  0.500  0.000
Rh  0.500  0.500  0.500

Properties
E_form (uncorrected)   0.133 eV/atom
Crystal system   cubic
DOS at the Fermi energy   0.708 states/eV/atom

The following is a PBEsol calculation of a geometry-optimized LaCBr structure, from Alexandria via LeMat-Bulk.

Lattice parameters (Å, degrees): 4.024 4.204 10.339 99.05 90.00 118.59
Fractional coordinates of all 6 atoms:
C  0.086  0.171  0.033
C  0.914  0.829  0.967
Br  0.205  0.410  0.662
Br  0.795  0.590  0.338
La  0.411  0.821  0.150
La  0.589  0.179  0.850

Properties
E_form (uncorrected)   -1.097 eV/atom
Crystal system   monoclinic
DOS at the Fermi energy   0.319 states/eV/atom

The following is a PBEsol calculation of a geometry-optimized LiNiBr structure, from Alexandria via LeMat-Bulk.

Lattice parameters (Å, degrees): 3.524 3.958 3.958 120.00 90.00 90.00
Fractional coordinates of all 3 atoms:
Ni  0.167  0.667  0.333
Li  0.667  0.333  0.667
Br  0.167  0.000  0.000

Properties
E_form (uncorrected)   -0.227 eV/atom
Crystal system   hexagonal
Offset from the most stable computed form   0.0000 eV/atom
DOS at the Fermi energy   0.194 states/eV/atom

The following is a PBEsol calculation of a geometry-optimized Sb2Te structure, from Alexandria via LeMat-Bulk.

Lattice parameters (Å, degrees): 6.286 6.286 6.286 91.21 119.30 119.30
Fractional coordinates of all 6 atoms:
Sb  0.500  0.833  0.667
Sb  0.833  0.667  0.167
Sb  0.500  0.167  0.333
Sb  0.167  0.333  0.833
Te  0.000  0.250  0.250
Te  0.000  0.750  0.750

Properties
E_form (uncorrected)   0.188 eV/atom
Crystal system   tetragonal
Offset from the most stable computed form   0.1979 eV/atom
DOS at the Fermi energy   0.636 states/eV/atom

The following is a PBEsol calculation of a geometry-optimized MgCrOs2 structure, from Alexandria via LeMat-Bulk.

Lattice parameters (Å, degrees): 2.985 4.213 5.023 114.79 107.29 90.00
Fractional coordinates of all 4 atoms:
Mg  0.245  0.745  0.490
Cr  0.493  0.493  0.986
Os  0.004  0.004  0.008
Os  0.758  0.258  0.515

Properties
Crystal system   orthorhombic
Energy relative to the elements   0.282 eV per atom
DOS at the Fermi energy   0.802 states/eV/atom

The following is a PBEsol calculation of a geometry-optimized Mo2OsRh structure, from Alexandria via LeMat-Bulk.

Lattice parameters (Å, degrees): 3.885 3.885 4.704 114.39 114.39 90.00
Fractional coordinates of all 4 atoms:
Mo  0.750  0.250  0.500
Mo  0.250  0.750  0.500
Os  0.000  0.000  0.000
Rh  0.500  0.500  0.000

Properties
Crystal system   tetragonal
Offset from the most stable computed form   0.0000 eV/atom
Energy relative to the elements   -0.080 eV per atom
DOS at the Fermi energy   0.727 states/eV/atom

The following is a PBEsol calculation of a geometry-optimized K2CoI4 structure, from Alexandria via LeMat-Bulk.

Lattice parameters (Å, degrees): 7.523 7.890 9.659 90.00 108.76 90.00
Each line ends with the local moment (μB).
Fractional coordinates of all 14 atoms:
I  0.011  0.497  0.766  0.10
I  0.989  0.997  0.234  0.10
I  0.989  0.503  0.234  0.10
I  0.616  0.750  0.433  0.09
I  0.384  0.250  0.567  0.09
I  0.011  0.003  0.766  0.10
I  0.411  0.250  0.129  0.10
I  0.589  0.750  0.871  0.10
K  0.217  0.750  0.548  0.00
K  0.271  0.750  0.074  0.00
K  0.783  0.250  0.452  0.00
K  0.729  0.250  0.926  0.00
Co  0.209  0.250  0.295  2.21
Co  0.791  0.750  0.705  2.21

Properties
E_form (uncorrected)   -0.797 eV/atom
Crystal system   monoclinic

The following is a PBEsol calculation of a geometry-optimized SrSnH3 structure, from Alexandria via LeMat-Bulk.

Lattice parameters (Å, degrees): 4.206 4.206 4.206 90.00 90.00 90.00
Fractional coordinates of all 5 atoms:
Sr  0.500  0.500  0.500
Sn  0.000  0.000  0.000
H  0.000  0.500  0.000
H  0.500  0.000  0.000
H  0.000  0.000  0.500

Properties
Crystal system   cubic
DOS at the Fermi energy   0.293 states/eV/atom
Uncorrected energy   -0.1150 hartree per atom

The following is a PBEsol calculation of a geometry-optimized NaPdI2N structure, from Alexandria via LeMat-Bulk.

Lattice parameters (Å, degrees): 3.744 5.721 5.721 90.00 90.00 90.00
Fractional coordinates of all 5 atoms:
N  0.500  0.000  0.000
Na  0.500  0.500  0.500
I  0.000  0.000  0.500
I  0.000  0.500  0.000
Pd  0.000  0.000  0.000

Properties
E_form (uncorrected)   0.034 eV/atom
Crystal system   tetragonal
DOS at the Fermi energy   0.408 states/eV/atom

The following is a PBEsol calculation of a geometry-optimized CsBaIn2Sn structure, from Alexandria via LeMat-Bulk.

Lattice parameters (Å, degrees): 5.718 5.718 6.421 90.00 90.00 90.00
Fractional coordinates of all 5 atoms:
Cs  0.000  0.000  0.500
Ba  0.500  0.500  0.500
In  0.500  0.000  0.000
In  0.000  0.500  0.000
Sn  0.000  0.000  0.000

Properties
Crystal system   tetragonal
Energy relative to the elements   0.193 eV per atom
DOS at the Fermi energy   0.858 states/eV/atom

The following is a PBEsol calculation of a geometry-optimized MoRu structure, from Alexandria via LeMat-Bulk.

Lattice parameters (Å, degrees): 4.349 4.856 5.435 90.00 90.00 90.00
Fractional coordinates of all 8 atoms:
Ru  0.250  0.088  0.628
Ru  0.250  0.588  0.872
Ru  0.750  0.412  0.128
Ru  0.750  0.912  0.372
Mo  0.750  0.388  0.613
Mo  0.750  0.888  0.887
Mo  0.250  0.612  0.387
Mo  0.250  0.112  0.113

Properties
Crystal system   orthorhombic
Energy relative to the elements   0.060 eV per atom
DOS at the Fermi energy   0.978 states/eV/atom

The following is a PBEsol calculation of a geometry-optimized Sr2CdPb structure, from Alexandria via LeMat-Bulk.

Lattice parameters (Å, degrees): 5.662 5.662 5.662 60.00 60.00 60.00
Fractional coordinates of all 4 atoms:
Pb  0.500  0.500  0.500
Sr  0.250  0.250  0.250
Sr  0.750  0.750  0.750
Cd  0.000  0.000  0.000

Properties
Crystal system   cubic
Offset from the most stable computed form   0.0000 eV/atom
Energy relative to the elements   -0.512 eV per atom
DOS at the Fermi energy   0.160 states/eV/atom

The following is a PBEsol calculation of a geometry-optimized CsZrN2O structure, from Alexandria via LeMat-Bulk.

Lattice parameters (Å, degrees): 4.288 4.310 4.310 90.00 90.00 90.00
Each line ends with the local moment (μB).
Fractional coordinates of all 5 atoms:
O  0.500  0.000  0.000  -0.03
N  0.000  0.000  0.500  -0.05
N  0.000  0.500  0.000  -0.05
Cs  0.000  0.000  0.000  0.01
Zr  0.500  0.500  0.500  0.53

Properties
E_form (uncorrected)   1.677 eV/atom
Crystal system   tetragonal
DOS at the Fermi energy   0.676 states/eV/atom

The following is a PBEsol calculation of a geometry-optimized Zr6Te2Pt structure, from Alexandria via LeMat-Bulk.

Lattice parameters (Å, degrees): 3.717 7.700 7.700 120.00 90.00 90.00
Fractional coordinates of all 9 atoms:
Zr  0.500  0.250  0.250
Zr  0.500  0.000  0.750
Zr  0.500  0.750  0.000
Zr  0.000  0.000  0.409
Zr  0.000  0.591  0.591
Zr  0.000  0.409  0.000
Pt  0.000  0.000  0.000
Te  0.500  0.667  0.333
Te  0.500  0.333  0.667

Properties
E_form (uncorrected)   -0.772 eV/atom
Crystal system   hexagonal
DOS at the Fermi energy   0.536 states/eV/atom